(1)
10
Lattice="7.5925 0.0000 0.0000 0.0000 7.5925 0.0000 -3.7962 -3.7962 5.1411" Properties=species:S:1:pos:R:3 comment="TlAgBr2Cl PBE optimized geometry" formation_energy_uncorrected_kcal_per_mol_atoms=-12.15 de_polymorph_mev_per_atom=0 pbc="T T T"
Tl 3.7962 0.0000 2.5657
Tl 0.0000 3.7962 2.5657
Ag 0.0000 0.0000 0.0021
Ag 3.7962 3.7962 0.0021
Br 2.1423 5.9385 0.0014
Br 5.9385 5.4502 0.0014
Br 5.4502 1.6540 0.0014
Br 1.6540 2.1423 0.0014
Cl 3.7962 3.7962 2.5727
Cl 0.0000 0.0000 2.5727

(2)
10
Lattice="-3.9607 5.1033 4.9380 -6.3155 -2.6591 4.3769 0.6871 -0.7912 8.0632" Properties=species:S:1:pos:R:3 comment="CsRb2AsCl6 PBE optimized geometry" formation_energy_uncorrected_kcal_per_mol_atoms=-32.41 de_polymorph_mev_per_atom=60 pbc="T T T"
Cs -4.7946 0.8265 8.6891
Rb -7.1919 1.2397 13.0336
Rb -2.3973 0.4132 4.3445
As 0.0000 0.0000 0.0000
Cl -4.3250 3.2345 6.5770
Cl -1.7082 -0.0844 8.3367
Cl -5.2641 -1.5815 10.8011
Cl -5.6509 -1.1360 6.2611
Cl -3.9382 2.7890 11.1170
Cl -7.8810 1.7374 9.0414

(3)
10
Lattice="8.5795 0.0000 0.0000 0.0000 8.5795 0.0000 0.0000 0.0000 4.3215" Properties=species:S:1:pos:R:3 comment="In2TePb2 PBE optimized geometry" formation_energy_uncorrected_kcal_per_mol_atoms=0.70 de_polymorph_mev_per_atom=0 pbc="T T T"
Pb 3.0919 7.3817 0.0000
Pb 7.3817 5.4876 0.0000
Pb 5.4876 1.1978 0.0000
Pb 1.1978 3.0919 0.0000
Te 0.0000 0.0000 0.0000
Te 4.2898 4.2898 0.0000
In 1.4331 5.7229 2.1608
In 5.7229 7.1464 2.1608
In 7.1464 2.8566 2.1608
In 2.8566 1.4331 2.1608

| no. | DOS at the Fermi energy (states/eV/cell) | calculated total energy (eV/atom) |
| --- | --- | --- |
| 1 | 2.321 | -2.6090 |
| 2 | 0.000 | -3.2573 |
| 3 | 4.968 | -3.1766 |